# 1
A relaxed Be2TeAu crystal. Source: the Alexandria database, functional PBEsol.

```
Be2TeAu
1.0
2.761 -3.445 0.000
2.761 3.445 0.000
0.000 0.000 3.299
Be Te Au
2 1 1
Direct
0.000 0.500 0.000
0.500 0.000 0.000
0.000 0.000 0.500
0.500 0.500 0.500
```

Computed properties:
Total magnetization, μB/f.u.: 0.0
Calculated volume, A^3/atom: 15.69
ΔE_f (raw), eV per atom: 0.488
Crystal system: orthorhombic


# 2
A relaxed BeTeAu2 crystal. Source: the Alexandria database, functional PBEsol.

```
BeTeAu2
1.0
3.349 -1.926 0.000
3.349 1.926 0.000
-2.228 0.000 5.647
Be Te Au
1 1 2
Direct
0.000 0.000 0.000
0.500 0.500 0.500
0.278 0.278 0.835
0.722 0.722 0.165
```

Computed properties:
Total magnetization, μB/f.u.: 0.0
Calculated volume, A^3/atom: 18.21
ΔE_f (raw), eV per atom: 0.025
Crystal system: monoclinic


# 3
A relaxed BeTe2Au crystal. Source: the Alexandria database, functional PBEsol.

```
BeTe2Au
1.0
3.013 -3.860 0.000
3.013 3.860 0.000
-2.992 0.000 3.859
Be Te Au
1 2 1
Direct
0.000 0.000 0.000
0.000 0.500 0.500
0.500 0.000 0.500
0.500 0.500 0.000
```

Computed properties:
Total magnetization, μB/f.u.: 0.0
Calculated volume, A^3/atom: 22.44
ΔE_f (raw), eV per atom: 0.240
Crystal system: monoclinic


# 4
A relaxed Be2TeAu crystal. Source: the Alexandria database, functional PBEsol.

```
Be2TeAu
1.0
3.820 -1.822 0.000
3.820 1.822 0.000
-0.397 0.000 5.292
Be Te Au
2 1 1
Direct
0.000 0.000 0.000
0.701 0.701 0.967
0.247 0.247 0.291
0.417 0.417 0.769
```

Computed properties:
Total magnetization, μB/f.u.: 0.0
Calculated volume, A^3/atom: 18.42
ΔE_f (raw), eV per atom: 0.146
Crystal system: monoclinic


# 5
A relaxed BeTe3Au crystal. Source: the Alexandria database, functional PBEsol.

```
BeTe3Au
1.0
4.877 0.000 0.000
0.000 4.877 0.000
0.000 0.000 4.877
Be Te Au
1 3 1
Direct
0.000 0.000 0.000
0.000 0.000 0.500
0.000 0.500 0.000
0.500 0.000 0.000
0.500 0.500 0.500
```

Computed properties:
Total magnetization, μB/f.u.: 0.0
Calculated volume, A^3/atom: 23.20
ΔE_f (raw), eV per atom: 0.574
Crystal system: cubic


# 6
A relaxed BeTe2Au crystal. Source: the Alexandria database, functional PBEsol.

```
BeTe2Au
1.0
4.312 0.000 0.000
0.000 3.798 0.000
-0.552 0.000 5.939
Be Te Au
1 2 1
Direct
0.000 0.000 0.000
0.566 0.000 0.705
0.942 0.500 0.273
0.354 0.500 0.974
```

Computed properties:
Total magnetization, μB/f.u.: 0.0
Calculated volume, A^3/atom: 24.32
ΔE_f (raw), eV per atom: -0.032
Crystal system: monoclinic


# 7
A relaxed BeTe2Au crystal. Source: the Alexandria database, functional PBEsol.

```
BeTe2Au
1.0
-1.912 1.912 6.260
1.912 -1.912 6.260
1.912 1.912 -6.260
Be Te Au
1 2 1
Direct
0.000 0.000 0.000
0.500 0.500 0.000
0.750 0.250 0.500
0.250 0.750 0.500
```

Computed properties:
Total magnetization, μB/f.u.: 0.0
Calculated volume, A^3/atom: 22.88
ΔE_f (raw), eV per atom: 0.391
Crystal system: tetragonal


# 8
A relaxed BeTe2Au crystal. Source: the Alexandria database, functional PBEsol.

```
BeTe2Au
1.0
-2.977 2.977 5.700
2.977 -2.977 5.700
2.977 2.977 -5.700
Be Te Au
2 4 2
Direct
0.000 0.000 0.000
0.750 0.250 0.500
0.088 0.625 0.963
0.375 0.338 0.463
0.662 0.125 0.037
0.875 0.912 0.537
0.250 0.750 0.500
0.500 0.500 0.000
```

Computed properties:
Total magnetization, μB/f.u.: 0.0
Calculated volume, A^3/atom: 25.26
ΔE_f (raw), eV per atom: -0.090
Crystal system: tetragonal